! PBE Pm3AlSe6, relaxed; values from VASP
&SYSTEM
  ibrav = 0, nat = 20, ntyp = 3
/
ATOMIC_SPECIES
Al 26.98 Al.upf
Pm 145.00 Pm.upf
Se 78.96 Se.upf
CELL_PARAMETERS angstrom
5.719 -7.102 0.000
5.719 7.102 0.000
0.000 0.000 6.892
ATOMIC_POSITIONS angstrom
Al 5.719 2.846 0.171
Al 5.719 -2.846 3.617
Pm 5.719 5.701 2.671
Pm 3.625 1.402 3.346
Pm 7.814 1.402 3.346
Pm 5.719 -5.701 6.117
Pm 3.625 -1.402 6.792
Pm 7.814 -1.402 6.792
Se 5.719 0.589 1.123
Se 5.719 -3.102 1.222
Se 1.857 0.442 1.281
Se 9.582 0.442 1.281
Se 3.827 3.759 1.343
Se 7.612 3.759 1.343
Se 5.719 -0.589 4.568
Se 5.719 3.102 4.668
Se 1.857 -0.442 4.727
Se 9.582 -0.442 4.727
Se 3.827 -3.759 4.789
Se 7.612 -3.759 4.789
! Electronic total energy ... -110.69 eV for the cell shown

! PBE Pm2AlSi, relaxed; values from VASP
&SYSTEM
  ibrav = 0, nat = 8, ntyp = 3
/
ATOMIC_SPECIES
Al 26.98 Al.upf
Pm 145.00 Pm.upf
Si 28.09 Si.upf
CELL_PARAMETERS angstrom
6.029 0.000 0.000
0.000 4.058 0.000
-2.713 0.000 8.305
ATOMIC_POSITIONS angstrom
Al 3.112 1.014 2.351
Al 0.204 3.043 5.954
Pm 1.506 3.043 0.563
Pm 0.079 1.014 3.537
Pm 3.237 3.043 4.768
Pm 1.810 1.014 7.742
Si 4.573 3.043 1.760
Si -1.257 1.014 6.545
! Electronic total energy ... -42.25 eV for the cell shown

! PBE PmAlSn, relaxed; values from VASP
&SYSTEM
  ibrav = 0, nat = 3, ntyp = 3
/
ATOMIC_SPECIES
Al 26.98 Al.upf
Pm 145.00 Pm.upf
Sn 118.71 Sn.upf
CELL_PARAMETERS angstrom
0.000 3.499 3.499
3.499 0.000 3.499
3.499 3.499 0.000
ATOMIC_POSITIONS angstrom
Al 1.749 1.749 1.749
Pm 5.248 5.248 5.248
Sn 0.000 0.000 0.000
! Electronic total energy ... -12.73 eV for the cell shown